# NbSb GGA-PBE relaxed
data_NbSb
_chemical_formula_sum 'Nb2 Sb2'
_cell_length_a 3.8181
_cell_length_b 3.8181
_cell_length_c 6.8348
_cell_angle_alpha 90.00
_cell_angle_beta 90.00
_cell_angle_gamma 120.00
_symmetry_space_group_name_H-M 'P 1'
_symmetry_Int_Tables_number 1
loop_
_symmetry_equiv_pos_as_xyz
'x,y,z'
loop_
_atom_site_label
_atom_site_type_symbol
_atom_site_fract_x
_atom_site_fract_y
_atom_site_fract_z
Nb1 Nb 0.0000 0.0000 0.0000
Nb2 Nb 0.0000 0.0000 0.5000
Sb1 Sb 0.3333 0.6667 0.2500
Sb2 Sb 0.6667 0.3333 0.7500
# Crystal system = hexagonal
# Space-group type = P6_3/mmc (194)
# Calculated total energy = -0.52665 Ry per atom



# TaFeAs GGA-PBE relaxed
data_TaFeAs
_chemical_formula_sum 'Ta3 Fe3 As3'
_cell_length_a 6.2419
_cell_length_b 6.2419
_cell_length_c 3.7548
_cell_angle_alpha 90.00
_cell_angle_beta 90.00
_cell_angle_gamma 120.00
_symmetry_space_group_name_H-M 'P 1'
_symmetry_Int_Tables_number 1
loop_
_symmetry_equiv_pos_as_xyz
'x,y,z'
loop_
_atom_site_label
_atom_site_type_symbol
_atom_site_fract_x
_atom_site_fract_y
_atom_site_fract_z
As1 As 0.6667 0.3333 0.0000
As2 As 0.3333 0.6667 0.0000
As3 As 0.0000 0.0000 0.5000
Fe1 Fe 0.2491 0.0000 0.0000
Fe2 Fe 0.0000 0.2491 0.0000
Fe3 Fe 0.7509 0.7509 0.0000
Ta1 Ta 0.5840 0.0000 0.5000
Ta2 Ta 0.4160 0.4160 0.5000
Ta3 Ta 0.0000 0.5840 0.5000
# Crystal system = hexagonal
# Space-group type = P-62m (189)
# Calculated total energy = -0.63148 Ry per atom



# TbPr2Mg3Pt3 GGA-PBE relaxed
data_TbPr2Mg3Pt3
_chemical_formula_sum 'Tb1 Pr2 Mg3 Pt3'
_cell_length_a 4.1294
_cell_length_b 7.5263
_cell_length_c 7.5263
_cell_angle_alpha 120.00
_cell_angle_beta 90.00
_cell_angle_gamma 90.00
_symmetry_space_group_name_H-M 'P 1'
_symmetry_Int_Tables_number 1
loop_
_symmetry_equiv_pos_as_xyz
'x,y,z'
loop_
_atom_site_label
_atom_site_type_symbol
_atom_site_fract_x
_atom_site_fract_y
_atom_site_fract_z
Mg1 Mg 0.5000 0.2420 0.0035
Mg2 Mg 0.5000 0.0035 0.2420
Mg3 Mg 0.5000 0.7567 0.7567
Pr1 Pr 0.0000 0.5873 0.0007
Pr2 Pr 0.0000 0.0007 0.5873
Pt1 Pt 0.0000 0.0070 0.0070
Pt2 Pt 0.5000 0.6586 0.3362
Pt3 Pt 0.5000 0.3362 0.6586
Tb1 Tb 0.0000 0.4080 0.4080
# Crystal system = orthorhombic
# Space-group type = Amm2 (38)
# Calculated total energy = -0.36894 Ry per atom



# NaZrCdAu GGA-PBE relaxed
data_NaZrCdAu
_chemical_formula_sum 'Na1 Zr1 Cd1 Au1'
_cell_length_a 4.8048
_cell_length_b 4.8048
_cell_length_c 4.8048
_cell_angle_alpha 60.00
_cell_angle_beta 60.00
_cell_angle_gamma 60.00
_symmetry_space_group_name_H-M 'P 1'
_symmetry_Int_Tables_number 1
loop_
_symmetry_equiv_pos_as_xyz
'x,y,z'
loop_
_atom_site_label
_atom_site_type_symbol
_atom_site_fract_x
_atom_site_fract_y
_atom_site_fract_z
Au1 Au 0.7500 0.7500 0.7500
Cd1 Cd 0.5000 0.5000 0.5000
Na1 Na 0.2500 0.2500 0.2500
Zr1 Zr 0.0000 0.0000 0.0000
# Crystal system = cubic
# Energy above the most stable polymorph in this dataset = 0 meV per atom
# Space-group type = F-43m (216)



# NdGdOs2N2O2 GGA-PBE relaxed
data_NdGdOs2N2O2
_chemical_formula_sum 'Nd1 Gd1 Os2 N2 O2'
_cell_length_a 3.8361
_cell_length_b 3.8361
_cell_length_c 7.7905
_cell_angle_alpha 90.00
_cell_angle_beta 90.00
_cell_angle_gamma 90.00
_symmetry_space_group_name_H-M 'P 1'
_symmetry_Int_Tables_number 1
loop_
_symmetry_equiv_pos_as_xyz
'x,y,z'
loop_
_atom_site_label
_atom_site_type_symbol
_atom_site_fract_x
_atom_site_fract_y
_atom_site_fract_z
Gd1 Gd 0.5000 0.5000 0.1534
N1 N 0.0000 0.0000 0.3774
N2 N 0.5000 0.5000 0.6188
Nd1 Nd 0.0000 0.0000 0.8442
O1 O 0.5000 0.0000 0.0064
O2 O 0.0000 0.5000 0.0064
Os1 Os 0.5000 0.0000 0.4967
Os2 Os 0.0000 0.5000 0.4967
# Crystal system = tetragonal
# Space-group type = P4mm (99)
# Calculated total energy = -0.62539 Ry per atom



# Nd2PIBr GGA-PBE relaxed
data_Nd2PIBr
_chemical_formula_sum 'Nd2 P1 I1 Br1'
_cell_length_a 4.2069
_cell_length_b 4.2069
_cell_length_c 10.7332
_cell_angle_alpha 90.00
_cell_angle_beta 90.00
_cell_angle_gamma 120.00
_symmetry_space_group_name_H-M 'P 1'
_symmetry_Int_Tables_number 1
loop_
_symmetry_equiv_pos_as_xyz
'x,y,z'
loop_
_atom_site_label
_atom_site_type_symbol
_atom_site_fract_x
_atom_site_fract_y
_atom_site_fract_z
Br1 Br 0.3333 0.6667 0.6745
I1 I 0.6667 0.3333 0.3411
Nd1 Nd 0.3333 0.6667 0.1425
Nd2 Nd 0.6667 0.3333 0.8474
P1 P 0.0000 0.0000 0.9945
# Crystal system = trigonal
# Space-group type = P3m1 (156)
# Calculated total energy = -0.38816 Ry per atom



# HoLuOs GGA-PBE relaxed
data_HoLuOs
_chemical_formula_sum 'Ho1 Lu1 Os1'
_cell_length_a 4.6696
_cell_length_b 4.6696
_cell_length_c 4.6696
_cell_angle_alpha 60.00
_cell_angle_beta 60.00
_cell_angle_gamma 60.00
_symmetry_space_group_name_H-M 'P 1'
_symmetry_Int_Tables_number 1
loop_
_symmetry_equiv_pos_as_xyz
'x,y,z'
loop_
_atom_site_label
_atom_site_type_symbol
_atom_site_fract_x
_atom_site_fract_y
_atom_site_fract_z
Ho1 Ho 0.2500 0.2500 0.2500
Lu1 Lu 0.0000 0.0000 0.0000
Os1 Os 0.7500 0.7500 0.7500
# Crystal system = cubic
# Energy above the most stable polymorph in this dataset = 987 meV per atom
# Space-group type = F-43m (216)
# DFT formation energy = 0.656 eV per atom



# PrDyHg2Au4 GGA-PBE relaxed
data_PrDyHg2Au4
_chemical_formula_sum 'Pr1 Dy1 Hg2 Au4'
_cell_length_a 4.9950
_cell_length_b 4.9950
_cell_length_c 7.0588
_cell_angle_alpha 90.00
_cell_angle_beta 90.00
_cell_angle_gamma 90.00
_symmetry_space_group_name_H-M 'P 1'
_symmetry_Int_Tables_number 1
loop_
_symmetry_equiv_pos_as_xyz
'x,y,z'
loop_
_atom_site_label
_atom_site_type_symbol
_atom_site_fract_x
_atom_site_fract_y
_atom_site_fract_z
Au1 Au 0.5000 0.0000 0.2372
Au2 Au 0.0000 0.5000 0.2372
Au3 Au 0.5000 0.0000 0.7628
Au4 Au 0.0000 0.5000 0.7628
Dy1 Dy 0.0000 0.0000 0.0000
Hg1 Hg 0.5000 0.5000 0.0000
Hg2 Hg 0.0000 0.0000 0.5000
Pr1 Pr 0.5000 0.5000 0.5000
# Crystal system = tetragonal
# Space-group type = P4/mmm (123)
# DFT formation energy = -0.588 eV per atom



# ScAg GGA-PBE relaxed
data_ScAg
_chemical_formula_sum 'Sc1 Ag1'
_cell_length_a 3.1933
_cell_length_b 3.1933
_cell_length_c 4.6589
_cell_angle_alpha 90.00
_cell_angle_beta 90.00
_cell_angle_gamma 120.00
_symmetry_space_group_name_H-M 'P 1'
_symmetry_Int_Tables_number 1
loop_
_symmetry_equiv_pos_as_xyz
'x,y,z'
loop_
_atom_site_label
_atom_site_type_symbol
_atom_site_fract_x
_atom_site_fract_y
_atom_site_fract_z
Ag1 Ag 0.6667 0.3333 0.7500
Sc1 Sc 0.3333 0.6667 0.2500
# Crystal system = hexagonal
# Space-group type = P-6m2 (187)
# DFT formation energy = -0.048 eV per atom



# Sc2GaTc GGA-PBE relaxed
data_Sc2GaTc
_chemical_formula_sum 'Sc2 Ga1 Tc1'
_cell_length_a 4.6126
_cell_length_b 4.6126
_cell_length_c 4.6126
_cell_angle_alpha 60.00
_cell_angle_beta 60.00
_cell_angle_gamma 60.00
_symmetry_space_group_name_H-M 'P 1'
_symmetry_Int_Tables_number 1
loop_
_symmetry_equiv_pos_as_xyz
'x,y,z'
loop_
_atom_site_label
_atom_site_type_symbol
_atom_site_fract_x
_atom_site_fract_y
_atom_site_fract_z
Ga1 Ga 0.5000 0.5000 0.5000
Sc1 Sc 0.0000 0.0000 0.0000
Sc2 Sc 0.7500 0.7500 0.7500
Tc1 Tc 0.2500 0.2500 0.2500
# Crystal system = cubic
# Space-group type = F-43m (216)
# Calculated total energy = -0.49513 Ry per atom



# B4IrPd GGA-PBE relaxed
data_B4IrPd
_chemical_formula_sum 'B4 Ir1 Pd1'
_cell_length_a 3.0756
_cell_length_b 3.0756
_cell_length_c 6.8231
_cell_angle_alpha 90.00
_cell_angle_beta 90.00
_cell_angle_gamma 120.00
_symmetry_space_group_name_H-M 'P 1'
_symmetry_Int_Tables_number 1
loop_
_symmetry_equiv_pos_as_xyz
'x,y,z'
loop_
_atom_site_label
_atom_site_type_symbol
_atom_site_fract_x
_atom_site_fract_y
_atom_site_fract_z
B1 B 0.6667 0.3333 0.2655
B2 B 0.3333 0.6667 0.2655
B3 B 0.6667 0.3333 0.7345
B4 B 0.3333 0.6667 0.7345
Ir1 Ir 0.0000 0.0000 0.5000
Pd1 Pd 0.0000 0.0000 0.0000
# Crystal system = hexagonal
# Energy above the most stable polymorph in this dataset = 23 meV per atom
# Space-group type = P6/mmm (191)